CrRuO3 | PBE+U | optimized geometry

The structure in POSCAR format:
```
CrRuO3
1.0
3.715 0.000 0.000
0.000 3.715 0.000
0.000 0.000 3.715
Ru O Cr
1 3 1
direct
0.500 0.500 0.500
0.000 0.500 0.000
0.000 0.000 0.500
0.500 0.000 0.000
0.000 0.000 0.000
```

## Properties
Theoretical density in g cm⁻³: 6.51
D(E_F) in states/eV/f.u.: 4.1
E in eV per cell: -32.4